Entry a
Below is crystalline Y4Tm5Cd at its relaxed geometry, with properties calculated at the PBE level.

Unit cell a=7.9830 b=7.9830 c=7.9830 alpha=97.22 beta=97.22 gamma=138.48
With the nearest neighbours (Å) after each atom.
Sites, in units of the cell vectors:
Y  0.0000  0.3192  0.3192  5 Tm 3.33-3.70, 1 Cd 3.72
Y  0.0000  0.6808  0.6808  5 Tm 3.33-3.70, 1 Cd 3.72
Y  0.3192  0.0000  0.3192  5 Tm 3.33-3.70, 1 Cd 3.72
Y  0.6808  0.0000  0.6808  5 Tm 3.33-3.70, 1 Cd 3.72
Tm  0.2038  0.2038  0.0000  2 Cd 2.73-2.93
Tm  0.3112  0.3112  0.6315  1 Cd 3.03, 1 Tm 3.21, 2 Y 3.33
Tm  0.3112  0.6797  0.0000  1 Cd 3.03, 1 Tm 3.21, 2 Y 3.33
Tm  0.6797  0.3112  0.0000  1 Cd 3.03, 1 Tm 3.21, 2 Y 3.33
Tm  0.6797  0.6797  0.3685  1 Cd 3.03, 1 Tm 3.21, 2 Y 3.33
Cd  0.7219  0.7219  0.0000  6 Tm 2.73-3.03

Calculated values
Its total magnetization is 0.00 μB per cell. Its space-group type is I4mm. As for the density of states at the Fermi level: 13.04 states/eV per cell. As for the calculated volume: 315.33 Å³ per cell.

=====

Entry b
Below is crystalline Y4Tm5Cd at its relaxed geometry, with properties calculated at the PBE level.

Unit cell a=3.5345 b=3.5345 c=24.0947 alpha=90.00 beta=90.00 gamma=90.00
With the nearest neighbours (Å) after each atom.
Sites, in units of the cell vectors:
Y  0.0000  0.0000  0.1037  4 Y 3.53, 8 Tm 3.53-3.54
Y  0.0000  0.0000  0.3113  8 Tm 3.53-3.54, 4 Y 3.53
Y  0.0000  0.0000  0.6887  8 Tm 3.53-3.54, 4 Y 3.53
Y  0.0000  0.0000  0.8963  4 Y 3.53, 8 Tm 3.53-3.54
Tm  0.5000  0.5000  0.0000  4 Tm 3.53, 8 Y 3.53
Tm  0.5000  0.5000  0.2078  8 Y 3.53-3.54, 4 Tm 3.53
Tm  0.5000  0.5000  0.4152  4 Cd 3.23, 4 Tm 3.53, 4 Y 3.54
Tm  0.5000  0.5000  0.5848  4 Cd 3.23, 4 Tm 3.53, 4 Y 3.54
Tm  0.5000  0.5000  0.7922  8 Y 3.53-3.54, 4 Tm 3.53
Cd  0.0000  0.0000  0.5000  8 Tm 3.23, 4 Cd 3.53

Calculated values
Its total magnetization is 0.00 μB per cell. Its space-group type is P4/mmm. As for the density of states at the Fermi level: 13.83 states/eV per cell. As for the calculated volume: 301.02 Å³ per cell.

=====

What should be chosen as the most stable of them? Choose entry b.

=====

Entry a
Below is crystalline YTm3Cd2 at its relaxed geometry, with properties calculated at the PBE level.

Unit cell a=3.5713 b=3.5713 c=12.9323 alpha=90.00 beta=90.00 gamma=90.00
With the nearest neighbours (Å) after each atom.
Sites, in units of the cell vectors:
Y  0.0000  0.0000  0.0000  8 Tm 3.54, 4 Y 3.57
Tm  0.5000  0.5000  0.1923  4 Cd 3.24, 4 Y 3.54, 4 Tm 3.57
Tm  0.5000  0.5000  0.5000  8 Cd 3.19, 4 Tm 3.57
Tm  0.5000  0.5000  0.8077  4 Cd 3.24, 4 Y 3.54, 4 Tm 3.57
Cd  0.0000  0.0000  0.3488  8 Tm 3.19-3.24, 4 Cd 3.57
Cd  0.0000  0.0000  0.6512  8 Tm 3.19-3.24, 4 Cd 3.57

Calculated values
Its total magnetization is 0.00 μB per cell. Its space-group type is P4/mmm. As for the density of states at the Fermi level: 6.34 states/eV per cell. As for the calculated volume: 164.94 Å³ per cell.

=====

Entry b
Below is crystalline YTm3Cd2 at its relaxed geometry, with properties calculated at the PBE level.

Unit cell a=5.1468 b=9.3155 c=6.8729 alpha=90.00 beta=90.00 gamma=90.00
With the nearest neighbours (Å) after each atom.
Sites, in units of the cell vectors:
Y  0.0000  0.0457  0.0000  3 Cd 3.19-3.23, 3 Tm 3.51-3.55, 2 Y 3.54
Y  0.0000  0.9543  0.5000  3 Cd 3.19-3.23, 3 Tm 3.51-3.55, 2 Y 3.54
Tm  0.0000  0.3233  0.6555  4 Cd 3.04-3.12
Tm  0.0000  0.6767  0.1555  4 Cd 3.04-3.12
Tm  0.5000  0.1818  0.3041  4 Cd 3.09-3.10
Tm  0.5000  0.4538  0.9587  3 Cd 3.19-3.23, 6 Tm 3.47-3.56
Tm  0.5000  0.5462  0.4587  3 Cd 3.19-3.23, 6 Tm 3.47-3.56
Tm  0.5000  0.8182  0.8041  4 Cd 3.09-3.10
Cd  0.0000  0.3527  0.2065  6 Tm 3.04-3.23, 1 Y 3.19
Cd  0.0000  0.6473  0.7065  6 Tm 3.04-3.23, 1 Y 3.19
Cd  0.5000  0.1478  0.7519  5 Tm 3.09-3.19, 2 Y 3.23
Cd  0.5000  0.8522  0.2519  5 Tm 3.09-3.19, 2 Y 3.23

Calculated values
Its total magnetization is 0.00 μB per cell. Its space-group type is Pmc2_1. As for the density of states at the Fermi level: 8.56 states/eV per cell. As for the calculated volume: 329.52 Å³ per cell.

=====

What should be chosen as the most stable of them? Choose entry b.

=====

Entry a
Below is crystalline YTmZnCd at its relaxed geometry, with properties calculated at the PBE level.

Unit cell a=3.5803 b=3.5803 c=7.5011 alpha=90.00 beta=90.00 gamma=90.00
With the nearest neighbours (Å) after each atom.
Sites, in units of the cell vectors:
Y  0.0000  0.0000  0.0000  4 Zn 3.10, 4 Cd 3.27, 1 Tm 3.47
Tm  0.0000  0.0000  0.4624  4 Zn 3.03, 4 Cd 3.21
Zn  0.5000  0.5000  0.2393  4 Tm 3.03, 4 Y 3.10
Cd  0.5000  0.5000  0.7246  4 Tm 3.21, 4 Y 3.27, 4 Cd 3.58

Calculated values
Its total magnetization is 0.00 μB per cell. Its space-group type is P4mm. As for the density of states at the Fermi level: 3.68 states/eV per cell. As for the calculated volume: 96.15 Å³ per cell.

=====

Entry b
Below is crystalline YTmZnCd at its relaxed geometry, with properties calculated at the PBE level.

Unit cell a=5.1540 b=5.1540 c=5.1540 alpha=60.00 beta=60.00 gamma=60.00
With the nearest neighbours (Å) after each atom.
Sites, in units of the cell vectors:
Y  0.0000  0.0000  0.0000  4 Cd 3.16, 4 Zn 3.16
Tm  0.5000  0.5000  0.5000  4 Cd 3.16, 4 Zn 3.16
Zn  0.7500  0.7500  0.7500  4 Tm 3.16, 4 Y 3.16
Cd  0.2500  0.2500  0.2500  4 Tm 3.16, 4 Y 3.16

Calculated values
Its total magnetization is 0.00 μB per cell. Its space-group type is F-43m. As for the density of states at the Fermi level: 3.19 states/eV per cell. As for the calculated volume: 96.81 Å³ per cell.

=====

What should be chosen as the most stable of them? Choose entry a.

=====

Entry a
Below is crystalline Tm2ZnCd at its relaxed geometry, with properties calculated at the PBE level.

Unit cell a=5.1128 b=5.1128 c=5.1128 alpha=60.00 beta=60.00 gamma=60.00
With the nearest neighbours (Å) after each atom.
Sites, in units of the cell vectors:
Tm  0.2500  0.2500  0.2500  4 Cd 3.13, 4 Zn 3.13
Tm  0.7500  0.7500  0.7500  4 Cd 3.13, 4 Zn 3.13
Zn  0.0000  0.0000  0.0000  8 Tm 3.13
Cd  0.5000  0.5000  0.5000  8 Tm 3.13

Calculated values
Its total magnetization is 0.00 μB per cell. Its space-group type is Fm-3m. As for the density of states at the Fermi level: 2.74 states/eV per cell. As for the calculated volume: 94.51 Å³ per cell.

=====

Entry b
Below is crystalline Tm2ZnCd at its relaxed geometry, with properties calculated at the PBE level.

Unit cell a=3.5452 b=3.5452 c=7.4708 alpha=90.00 beta=90.00 gamma=90.00
With the nearest neighbours (Å) after each atom.
Sites, in units of the cell vectors:
Tm  0.0000  0.0000  0.2307  4 Zn 3.04, 4 Cd 3.21
Tm  0.0000  0.0000  0.7693  4 Zn 3.04, 4 Cd 3.21
Zn  0.5000  0.5000  0.0000  8 Tm 3.04
Cd  0.5000  0.5000  0.5000  8 Tm 3.21, 4 Cd 3.55

Calculated values
Its total magnetization is 0.00 μB per cell. Its space-group type is P4/mmm. As for the density of states at the Fermi level: 3.39 states/eV per cell. As for the calculated volume: 93.90 Å³ per cell.

=====

What should be chosen as the most stable of them? Choose entry b.

=====

Entry a
Below is crystalline TmZrCd2 at its relaxed geometry, with properties calculated at the PBE level.

Unit cell a=5.0998 b=5.0998 c=5.0998 alpha=60.00 beta=60.00 gamma=60.00
With the nearest neighbours (Å) after each atom.
Sites, in units of the cell vectors:
Tm  0.0000  0.0000  0.0000  8 Cd 3.12
Zr  0.5000  0.5000  0.5000  8 Cd 3.12
Cd  0.2500  0.2500  0.2500  4 Zr 3.12, 4 Tm 3.12
Cd  0.7500  0.7500  0.7500  4 Zr 3.12, 4 Tm 3.12

Calculated values
Its total magnetization is 0.64 μB per cell. Its space-group type is Fm-3m. As for the density of states at the Fermi level: 4.37 states/eV per cell. As for the calculated volume: 93.79 Å³ per cell.

=====

Entry b
Below is crystalline TmZrCd2 at its relaxed geometry, with properties calculated at the PBE level.

Unit cell a=10.3935 b=10.3935 c=10.3935 alpha=18.41 beta=18.41 gamma=18.41
With the nearest neighbours (Å) after each atom.
Sites, in units of the cell vectors:
Tm  0.0000  0.0000  0.0000  6 Cd 3.24, 6 Tm 3.33
Zr  0.5000  0.5000  0.5000  6 Cd 3.15, 6 Zr 3.33
Cd  0.2482  0.2482  0.2482  3 Zr 3.15, 3 Tm 3.24, 6 Cd 3.33
Cd  0.7518  0.7518  0.7518  3 Zr 3.15, 3 Tm 3.24, 6 Cd 3.33

Calculated values
Its total magnetization is 0.00 μB per cell. Its space-group type is R-3m. As for the density of states at the Fermi level: 3.78 states/eV per cell. As for the calculated volume: 97.82 Å³ per cell.

=====

Entry c
Below is crystalline TmZrCd2 at its relaxed geometry, with properties calculated at the PBE level.

Unit cell a=3.5966 b=3.5966 c=7.2460 alpha=90.00 beta=90.00 gamma=90.00
With the nearest neighbours (Å) after each atom.
Sites, in units of the cell vectors:
Tm  0.0000  0.0000  0.0000  8 Cd 3.17
Zr  0.0000  0.0000  0.5000  8 Cd 3.08
Cd  0.5000  0.5000  0.2605  4 Zr 3.08, 4 Tm 3.17
Cd  0.5000  0.5000  0.7395  4 Zr 3.08, 4 Tm 3.17

Calculated values
Its total magnetization is 0.37 μB per cell. Its space-group type is P4/mmm. As for the density of states at the Fermi level: 4.80 states/eV per cell. As for the calculated volume: 93.73 Å³ per cell.

=====

What should be chosen as the most stable of them? Choose entry c.

=====

Entry a
Below is crystalline TmZrCd4 at its relaxed geometry, with properties calculated at the PBE level.

Unit cell a=4.8885 b=4.8885 c=6.6079 alpha=90.00 beta=90.00 gamma=120.00
With the nearest neighbours (Å) after each atom.
Sites, in units of the cell vectors:
Tm  0.0000  0.0000  0.0000  2 Zr 3.30, 12 Cd 3.31
Zr  0.0000  0.0000  0.5000  12 Cd 3.23, 2 Tm 3.30
Cd  0.3333  0.6667  0.2622  4 Cd 2.82-3.14
Cd  0.3333  0.6667  0.7378  4 Cd 2.82-3.14
Cd  0.6667  0.3333  0.2622  4 Cd 2.82-3.14
Cd  0.6667  0.3333  0.7378  4 Cd 2.82-3.14

Calculated values
Its total magnetization is 0.00 μB per cell. Its space-group type is P6/mmm. As for the density of states at the Fermi level: 4.39 states/eV per cell. As for the calculated volume: 136.76 Å³ per cell.

=====

Entry b
Below is crystalline TmZrCd4 at its relaxed geometry, with properties calculated at the PBE level.

Unit cell a=5.7731 b=5.7731 c=5.7731 alpha=60.00 beta=60.00 gamma=60.00
With the nearest neighbours (Å) after each atom.
Sites, in units of the cell vectors:
Tm  0.0000  0.0000  0.0000  12 Cd 3.39, 4 Zr 3.54
Zr  0.2500  0.2500  0.2500  12 Cd 3.38, 4 Tm 3.54
Cd  0.1260  0.6247  0.6247  6 Cd 2.88-2.89
Cd  0.6247  0.1260  0.6247  6 Cd 2.88-2.89
Cd  0.6247  0.6247  0.1260  6 Cd 2.88-2.89
Cd  0.6247  0.6247  0.6247  6 Cd 2.88-2.89

Calculated values
Its total magnetization is 2.07 μB per cell. Its space-group type is F-43m. As for the density of states at the Fermi level: 5.61 states/eV per cell. As for the calculated volume: 136.05 Å³ per cell.

=====

What should be chosen as the most stable of them? Choose entry a.